(1)
Tb3Ga2Pt6: optimized geometry, PBE.

The calculation puts the calculated volume at 870.3 Å³/cell. The density of states at the Fermi level comes out at 23.8 states/eV per cell. For the total energy, the calculation gives -0.2254 hartree per atom. Its magnetic moment is 0.00 μB/cell. For the calculated formation energy, the calculation gives -1.026 eV per atom.

It has space group Im-3m (No. 229), with a = 9.5477 Å, b = 9.5477 Å, c = 9.5477 Å, α = 90.00°, β = 90.00° and γ = 90.00°. The distinct sites, in fractional coordinates, are Tb at (0.0000, 0.0000, 0.3004), Ga at (0.2500, 0.2500, 0.2500) and Pt at (0.0000, 0.3231, 0.3231).

***

(2)
NaAg12Te6: optimized geometry, PBE.

For the raw formation energy, the calculation gives -8 meV per atom. The calculation puts the calculated volume at 1591.5 Å³/cell. The density of states at the Fermi level comes out at 9.0 states/eV per cell. For the total energy, the calculation gives -0.1055 hartree per atom. Its magnetic moment is 0.00 μB/cell.

It has space group R-3m (No. 166, hexagonal axes), with a = 12.3710 Å, b = 12.3710 Å, c = 12.0080 Å, α = 90.00°, β = 90.00° and γ = 120.00°. The distinct sites, in fractional coordinates, are Na at (0.0000, 0.0000, 0.0000), Ag at (0.0000, 0.3243, 0.5000), Ag at (0.0793, 0.1586, 0.3924) and Te at (0.0401, 0.5200, 0.3357).

***

(3)
Ca4Mg8Zn: optimized geometry, PBE.

The calculation puts the calculated volume at 720.3 Å³/cell. The density of states at the Fermi level comes out at 19.9 states/eV per cell. For the total energy, the calculation gives -0.0621 hartree per atom. Its magnetic moment is 0.00 μB/cell. For the calculated formation energy, the calculation gives 0.004 eV per atom.

It has space group I4/m (No. 87), with a = 14.5327 Å, b = 14.5327 Å, c = 3.4104 Å, α = 90.00°, β = 90.00° and γ = 90.00°. The distinct sites, in fractional coordinates, are Ca at (0.0533, 0.8234, 0.0000), Mg at (0.0052, 0.3752, 0.5000), Mg at (0.1679, 0.2930, 0.0000) and Zn at (0.0000, 0.0000, 0.5000).

***

(4)
Ba4NaPd2: optimized geometry, PBE.

The calculation puts the calculated volume at 672.4 Å³/cell. The density of states at the Fermi level comes out at 8.6 states/eV per cell. For the total energy, the calculation gives -0.1133 hartree per atom. Its magnetic moment is 0.00 μB/cell. For the calculated formation energy, the calculation gives -0.312 eV per atom.

It has space group C2/m (No. 12), with a = 19.4126 Å, b = 4.6698 Å, c = 8.1675 Å, α = 90.00°, β = 114.76° and γ = 90.00°. The distinct sites, in fractional coordinates, are Ba at (0.1517, 0.0000, 0.4911), Ba at (0.1547, 0.5000, 0.9825), Na at (0.0000, 0.0000, 0.0000) and Pd at (0.2466, 0.0000, 0.2500).

***

(5)
Tb5PmErTh2: optimized geometry, PBE.

The calculation puts the calculated volume at 1203.5 Å³/cell. The density of states at the Fermi level comes out at 50.3 states/eV per cell. For the total energy, the calculation gives -0.1808 hartree per atom. Its magnetic moment is 0.00 μB/cell. For the calculated formation energy, the calculation gives 0.337 eV per atom.

It has space group I4/mcm (No. 140), with a = 8.8468 Å, b = 8.8468 Å, c = 15.3773 Å, α = 90.00°, β = 90.00° and γ = 90.00°. The distinct sites, in fractional coordinates, are Tb at (0.0000, 0.0000, 0.0000), Tb at (0.2089, 0.2911, 0.1382), Pm at (0.0000, 0.0000, 0.2500), Er at (0.0000, 0.5000, 0.2500) and Th at (0.1191, 0.3809, 0.5000).

***

(6)
TaSiOF2: optimized geometry, PBE.

For the raw formation energy, the calculation gives -1261 meV per atom. The calculation puts the calculated volume at 72.0 Å³/cell. The density of states at the Fermi level comes out at 4.9 states/eV per cell. For the total energy, the calculation gives -0.2373 hartree per atom. Its magnetic moment is 0.00 μB/cell.

It has space group P4/mmm (No. 123), with a = 4.2896 Å, b = 4.2896 Å, c = 3.9134 Å, α = 90.00°, β = 90.00° and γ = 90.00°. The distinct sites, in fractional coordinates, are Ta at (0.0000, 0.0000, 0.0000), Si at (0.5000, 0.5000, 0.5000), O at (0.0000, 0.0000, 0.5000) and F at (0.0000, 0.5000, 0.0000).

***

(7)
V5Cr2Mo4: optimized geometry, PBE.

The calculation puts the calculated volume at 334.5 Å³/cell. The density of states at the Fermi level comes out at 25.6 states/eV per cell. For the total energy, the calculation gives -0.3408 hartree per atom. Its magnetic moment is 3.42 μB/cell. For the calculated formation energy, the calculation gives 0.560 eV per atom.

It has space group Immm (No. 71), with a = 2.9247 Å, b = 8.4833 Å, c = 13.4826 Å, α = 90.00°, β = 90.00° and γ = 90.00°. The distinct sites, in fractional coordinates, are V at (0.0000, 0.0000, 0.0000), V at (0.0000, 0.2172, 0.3207), Cr at (0.0000, 0.5000, 0.3258), Mo at (0.0000, 0.2464, 0.5000) and Mo at (0.0000, 0.5000, 0.0992).

***

(8)
LaAg4Sn2: optimized geometry, PBE.

The calculation puts the calculated volume at 319.6 Å³/cell. The density of states at the Fermi level comes out at 7.0 states/eV per cell. For the total energy, the calculation gives -0.1378 hartree per atom. Its magnetic moment is 0.00 μB/cell. For the calculated formation energy, the calculation gives -0.273 eV per atom.

It has space group P4_2/mnm (No. 136), with a = 8.3255 Å, b = 8.3255 Å, c = 4.6114 Å, α = 90.00°, β = 90.00° and γ = 90.00°. The distinct sites, in fractional coordinates, are La at (0.0000, 0.0000, 0.0000), Ag at (0.0961, 0.3516, 0.5000) and Sn at (0.2136, 0.7864, 0.5000).